This record from Alexandria describes an optimized crystal structure of ReSi2P. The functional is PBE-GGA.

abc: 7.1447 7.1447 7.1447
angles: 25.11 25.11 25.11
Last column: nearest neighbours and their distance in Å.
Fractional positions:
P1 0.4991 0.4991 0.4991  3 Re 2.44, 3 Si 2.48
Re1 0.7531 0.7531 0.7531  3 P 2.44, 3 Si 2.54
Si1 0.9999 0.9999 0.9999  3 Si 2.52, 3 Re 2.54
Si2 0.2480 0.2480 0.2480  3 P 2.48, 3 Si 2.52

The total magnetic moment is 0.00 μB/cell. The value obtained for the raw formation energy is 149 meV per atom.